(1)
{"formula": "YTh2CdC", "functional": "PBE-GGA", "state": "relaxed", "cell": [[5.0846, 0.0000, 0.0000], [0.0000, 5.0846, 0.0000], [0.0000, 0.0000, 4.9764]], "species": ["Y", "Th", "Th", "Cd", "C"], "frac_coords": [[0.0000, 0.0000, 0.0000], [0.0000, 0.5000, 0.5000], [0.5000, 0.0000, 0.5000], [0.5000, 0.5000, 0.0000], [0.0000, 0.0000, 0.5000]], "sg": "P4/mmm (123)"}



(2)
{"formula": "Y2ThCdC", "functional": "PBE-GGA", "state": "relaxed", "cell": [[4.9622, 0.0000, 0.0000], [0.0000, 4.9622, 0.0000], [0.0000, 0.0000, 5.0643]], "species": ["Y", "Y", "Th", "Cd", "C"], "frac_coords": [[0.0000, 0.5000, 0.0000], [0.5000, 0.0000, 0.0000], [0.0000, 0.0000, 0.5000], [0.5000, 0.5000, 0.5000], [0.0000, 0.0000, 0.0000]], "sg": "P4/mmm (123)"}



(3)
{"formula": "ThZrCdC", "functional": "PBE-GGA", "state": "relaxed", "cell": [[1.7389, 1.0039, 8.1640], [-1.7389, 1.0039, 8.1640], [0.0000, -2.0079, 8.1640]], "species": ["Th", "Zr", "Cd", "C"], "frac_coords": [[0.0000, 0.0000, 0.0000], [0.7788, 0.7788, 0.7788], [0.2133, 0.2133, 0.2133], [0.3989, 0.3989, 0.3989]], "sg": "R3m (160)"}



(4)
{"formula": "Ti3CdC", "functional": "PBE-GGA", "state": "relaxed", "cell": [[-1.5666, 9.8622, 2.5541], [1.5666, -9.8622, 2.5541], [1.5666, 9.8622, -2.5541]], "species": ["Ti", "Ti", "Ti", "Ti", "Ti", "Ti", "Cd", "Cd", "C", "C"], "frac_coords": [[0.1224, 0.0000, 0.1224], [0.3623, 0.6217, 0.7406], [0.3638, 0.9958, 0.3680], [0.6278, 0.9958, 0.6320], [0.8776, 0.0000, 0.8776], [0.8811, 0.6217, 0.2594], [0.1525, 0.6525, 0.5000], [0.6427, 0.6427, 0.0000], [0.1313, 0.3179, 0.8134], [0.5045, 0.3179, 0.1866]], "sg": "Imm2 (44)"}



(5)
{"formula": "Ti3CdC", "functional": "PBE-GGA", "state": "relaxed", "cell": [[3.9329, -5.8162, 0.0000], [3.9329, 5.8162, 0.0000], [0.0000, 0.0000, 4.0177]], "species": ["Ti", "Ti", "Ti", "Ti", "Ti", "Ti", "Cd", "Cd", "C", "C"], "frac_coords": [[0.0000, 0.0000, 0.0000], [0.0000, 0.0000, 0.5000], [0.2613, 0.4209, 0.7500], [0.4209, 0.2613, 0.2500], [0.5791, 0.7387, 0.7500], [0.7387, 0.5791, 0.2500], [0.2289, 0.7711, 0.2500], [0.7711, 0.2289, 0.7500], [0.4220, 0.5780, 0.2500], [0.5780, 0.4220, 0.7500]], "sg": "Cmcm (63)"}



(6)
{"formula": "Ti3CdC", "functional": "PBE-GGA", "state": "relaxed", "cell": [[7.9146, 0.0000, 0.0000], [0.0000, 5.5532, 0.0000], [-2.9098, 0.0000, 7.3026]], "species": ["Ti", "Ti", "Ti", "Ti", "Ti", "Ti", "Ti", "Ti", "Ti", "Ti", "Ti", "Ti", "Cd", "Cd", "Cd", "Cd", "C", "C", "C", "C"], "frac_coords": [[0.0505, 0.0797, 0.3516], [0.0505, 0.4203, 0.8516], [0.1794, 0.5637, 0.5348], [0.1794, 0.9363, 0.0348], [0.3199, 0.1285, 0.7466], [0.3199, 0.3715, 0.2466], [0.6801, 0.6285, 0.7534], [0.6801, 0.8715, 0.2534], [0.8206, 0.0637, 0.9652], [0.8206, 0.4363, 0.4652], [0.9495, 0.5797, 0.1484], [0.9495, 0.9203, 0.6484], [0.3998, 0.6770, 0.9006], [0.3998, 0.8230, 0.4006], [0.6002, 0.1770, 0.5994], [0.6002, 0.3230, 0.0994], [0.0650, 0.2434, 0.1024], [0.0650, 0.2566, 0.6024], [0.9350, 0.7434, 0.3976], [0.9350, 0.7566, 0.8976]], "sg": "P2_1/c (14)"}



(7)
{"formula": "TiCdC3", "functional": "PBE-GGA", "state": "relaxed", "cell": [[4.1492, 0.0000, 0.0000], [0.0000, 4.1492, 0.0000], [0.0000, 0.0000, 4.1492]], "species": ["Ti", "Cd", "C", "C", "C"], "frac_coords": [[0.0000, 0.0000, 0.0000], [0.5000, 0.5000, 0.5000], [0.0000, 0.5000, 0.5000], [0.5000, 0.0000, 0.5000], [0.5000, 0.5000, 0.0000]], "sg": "Pm-3m (221)"}



(8)
{"formula": "Ti3CdC", "functional": "PBE-GGA", "state": "relaxed", "cell": [[4.0344, 0.0000, 0.0000], [-2.0172, 3.4939, 0.0000], [0.0000, 0.0000, 13.6000]], "species": ["Ti", "Ti", "Ti", "Ti", "Ti", "Ti", "Cd", "Cd", "C", "C"], "frac_coords": [[0.0000, 0.0000, 0.2500], [0.0000, 0.0000, 0.7500], [0.3333, 0.6667, 0.0533], [0.3333, 0.6667, 0.4467], [0.6667, 0.3333, 0.5533], [0.6667, 0.3333, 0.9467], [0.3333, 0.6667, 0.2500], [0.6667, 0.3333, 0.7500], [0.0000, 0.0000, 0.0000], [0.0000, 0.0000, 0.5000]], "sg": "P6_3/mmc (194)"}



(9)
{"formula": "Ti3CdC", "functional": "PBE-GGA", "state": "relaxed", "cell": [[3.8524, 2.2242, 3.1266], [-3.8524, 2.2242, 3.1266], [0.0000, -4.4483, 3.1266]], "species": ["Ti", "Ti", "Ti", "Ti", "Ti", "Ti", "Cd", "Cd", "C", "C"], "frac_coords": [[0.0070, 0.7500, 0.4930], [0.2500, 0.5070, 0.9930], [0.4930, 0.0070, 0.7500], [0.5070, 0.9930, 0.2500], [0.7500, 0.4930, 0.0070], [0.9930, 0.2500, 0.5070], [0.0000, 0.0000, 0.0000], [0.5000, 0.5000, 0.5000], [0.2500, 0.2500, 0.2500], [0.7500, 0.7500, 0.7500]], "sg": "R-3c (167)"}



(10)
{"formula": "Ti3CdC", "functional": "PBE-GGA", "state": "relaxed", "cell": [[4.2429, 0.0000, 0.0000], [0.0000, 4.2429, 0.0000], [0.0000, 0.0000, 4.2429]], "species": ["Ti", "Ti", "Ti", "Cd", "C"], "frac_coords": [[0.0000, 0.0000, 0.5000], [0.0000, 0.5000, 0.0000], [0.5000, 0.0000, 0.0000], [0.5000, 0.5000, 0.5000], [0.0000, 0.0000, 0.0000]], "sg": "Pm-3m (221)"}



(11)
{"formula": "Ti3CdC", "functional": "PBE-GGA", "state": "relaxed", "cell": [[3.0198, 0.0000, 0.0000], [1.4963, 4.8683, 0.0000], [1.4999, 0.4491, 10.6158]], "species": ["Ti", "Ti", "Ti", "Ti", "Ti", "Ti", "Cd", "Cd", "C", "C"], "frac_coords": [[0.0000, 0.0000, 0.0000], [0.0329, 0.5770, 0.3564], [0.3586, 0.0424, 0.2426], [0.5634, 0.0896, 0.7822], [0.6766, 0.5241, 0.1191], [0.8072, 0.5263, 0.8626], [0.3737, 0.6319, 0.6200], [0.7024, 0.1061, 0.4883], [0.0154, 0.7888, 0.1797], [0.3612, 0.3069, 0.9725]], "sg": "P1 (1)"}



(12)
{"formula": "Ti3CdC", "functional": "PBE-GGA", "state": "relaxed", "cell": [[5.1156, 0.0000, 0.0000], [0.0000, 3.1274, 0.0000], [-1.5058, 0.0000, 9.8396]], "species": ["Ti", "Ti", "Ti", "Ti", "Ti", "Ti", "Cd", "Cd", "C", "C"], "frac_coords": [[0.0000, 0.0000, 0.0000], [0.0425, 0.5000, 0.7476], [0.3532, 0.5000, 0.5304], [0.4984, 0.5000, 0.0232], [0.5533, 0.0000, 0.7852], [0.8534, 0.0000, 0.5074], [0.4243, 0.0000, 0.2712], [0.9349, 0.5000, 0.2603], [0.2058, 0.0000, 0.6392], [0.7802, 0.5000, 0.8933]], "sg": "Pm (6)"}



(13)
{"formula": "Ti3CdC", "functional": "PBE-GGA", "state": "relaxed", "cell": [[5.5727, -1.5207, 0.0000], [5.5727, 1.5207, 0.0000], [-4.9793, 0.0000, 9.2619]], "species": ["Ti", "Ti", "Ti", "Ti", "Ti", "Ti", "Cd", "Cd", "C", "C"], "frac_coords": [[0.1160, 0.1160, 0.2172], [0.1291, 0.1291, 0.7368], [0.3695, 0.3695, 0.0189], [0.6305, 0.6305, 0.9811], [0.8709, 0.8709, 0.2632], [0.8840, 0.8840, 0.7828], [0.3748, 0.3748, 0.5218], [0.6252, 0.6252, 0.4782], [0.2496, 0.2496, 0.1289], [0.7504, 0.7504, 0.8711]], "sg": "C2/m (12)"}



Number 1: energy relative to the elements -24 kJ/mol of atoms. Number 2: energy relative to the elements -28 kJ/mol of atoms. Number 3: energy relative to the elements -34 kJ/mol of atoms. Number 4: energy relative to the elements -33 kJ/mol of atoms. Number 5: energy relative to the elements 52 kJ/mol of atoms. Number 6: energy relative to the elements -23 kJ/mol of atoms. Number 7: energy relative to the elements 287 kJ/mol of atoms. Number 8: energy relative to the elements 105 kJ/mol of atoms. Number 9: energy relative to the elements 18 kJ/mol of atoms. Number 10: energy relative to the elements -43 kJ/mol of atoms. Number 11: energy relative to the elements -27 kJ/mol of atoms. Number 12: energy relative to the elements -33 kJ/mol of atoms. Number 13: energy relative to the elements -35 kJ/mol of atoms.